Record 1
ZrMnAg2Sb after structural relaxation. Source: the Alexandria database, functional PBE-GGA.

```
data_ZrMnAg2Sb
_chemical_formula_sum 'Zr1 Mn1 Ag2 Sb1'
_cell_length_a 4.828
_cell_length_b 4.854
_cell_length_c 4.828
_cell_angle_alpha 90.00
_cell_angle_beta 90.00
_cell_angle_gamma 90.00
_symmetry_space_group_name_H-M 'P 1'
_symmetry_Int_Tables_number 1
loop_
_symmetry_equiv_pos_as_xyz
'x,y,z'
loop_
_atom_site_label
_atom_site_fract_x
_atom_site_fract_y
_atom_site_fract_z
Sb1 0.000 0.500 0.000
Mn1 0.000 0.000 0.000
Zr1 0.500 0.500 0.500
Ag1 0.000 0.000 0.500
Ag2 0.500 0.000 0.000
```

Computed properties:
size of the total moment = 2.77 μB per cell
raw formation energy = 0.60 eV per atom
raw total energy = -4.9113 eV per atom
density = 7.10 g/cm³
volume = 113 Å³ per cell
DOS at the Fermi energy = 0.773 states/eV per atom



Record 2
Sc4MnAg3 after structural relaxation. Source: the Alexandria database, functional PBE-GGA.

```
data_Sc4MnAg3
_chemical_formula_sum 'Sc4 Mn1 Ag3'
_cell_length_a 3.349
_cell_length_b 3.349
_cell_length_c 13.940
_cell_angle_alpha 90.00
_cell_angle_beta 90.00
_cell_angle_gamma 90.00
_symmetry_space_group_name_H-M 'P 1'
_symmetry_Int_Tables_number 1
loop_
_symmetry_equiv_pos_as_xyz
'x,y,z'
loop_
_atom_site_label
_atom_site_fract_x
_atom_site_fract_y
_atom_site_fract_z
Sc1 0.000 0.000 0.886
Sc2 0.000 0.000 0.114
Sc3 0.000 0.000 0.373
Sc4 0.000 0.000 0.627
Mn1 0.500 0.500 0.000
Ag1 0.500 0.500 0.245
Ag2 0.500 0.500 0.500
Ag3 0.500 0.500 0.755
```

Computed properties:
size of the total moment = 2.43 μB per cell
formation energy from the elements = -0.18 eV per atom
raw total energy = -5.5644 eV per atom
density = 5.93 g/cm³
volume = 156 Å³ per cell
DOS at the Fermi energy = 1.136 states/eV per atom



Record 3
Sc2MnAg after structural relaxation. Source: the Alexandria database, functional PBE-GGA.

```
data_Sc2MnAg
_chemical_formula_sum 'Sc2 Mn1 Ag1'
_cell_length_a 8.848
_cell_length_b 8.848
_cell_length_c 8.848
_cell_angle_alpha 20.42
_cell_angle_beta 20.42
_cell_angle_gamma 20.42
_symmetry_space_group_name_H-M 'P 1'
_symmetry_Int_Tables_number 1
loop_
_symmetry_equiv_pos_as_xyz
'x,y,z'
loop_
_atom_site_label
_atom_site_fract_x
_atom_site_fract_y
_atom_site_fract_z
Ag1 0.750 0.750 0.750
Mn1 0.250 0.250 0.250
Sc1 0.988 0.988 0.988
Sc2 0.512 0.512 0.512
```

Computed properties:
size of the total moment = 0.00 μB per cell
formation energy from the elements = 0.15 eV per atom
raw total energy = -6.0187 eV per atom
density = 5.68 g/cm³
volume = 74 Å³ per cell
DOS at the Fermi energy = 0.802 states/eV per atom



Record 4
Sc2MnAg after structural relaxation. Source: the Alexandria database, functional PBE-GGA.

```
data_Sc2MnAg
_chemical_formula_sum 'Sc2 Mn1 Ag1'
_cell_length_a 3.565
_cell_length_b 3.565
_cell_length_c 6.270
_cell_angle_alpha 90.00
_cell_angle_beta 90.00
_cell_angle_gamma 90.00
_symmetry_space_group_name_H-M 'P 1'
_symmetry_Int_Tables_number 1
loop_
_symmetry_equiv_pos_as_xyz
'x,y,z'
loop_
_atom_site_label
_atom_site_fract_x
_atom_site_fract_y
_atom_site_fract_z
Ag1 0.000 0.000 0.504
Mn1 0.500 0.500 0.763
Sc1 0.000 0.000 0.958
Sc2 0.500 0.500 0.275
```

Computed properties:
size of the total moment = 2.78 μB per cell
formation energy from the elements = 0.06 eV per atom
raw total energy = -6.1061 eV per atom
density = 5.27 g/cm³
volume = 80 Å³ per cell
DOS at the Fermi energy = 0.924 states/eV per atom



Record 5
ScMn2Ag after structural relaxation. Source: the Alexandria database, functional PBE-GGA.

```
data_ScMn2Ag
_chemical_formula_sum 'Sc1 Mn2 Ag1'
_cell_length_a 5.099
_cell_length_b 5.099
_cell_length_c 5.099
_cell_angle_alpha 134.25
_cell_angle_beta 134.25
_cell_angle_gamma 66.70
_symmetry_space_group_name_H-M 'P 1'
_symmetry_Int_Tables_number 1
loop_
_symmetry_equiv_pos_as_xyz
'x,y,z'
loop_
_atom_site_label
_atom_site_fract_x
_atom_site_fract_y
_atom_site_fract_z
Ag1 0.750 0.250 0.500
Mn1 0.000 0.000 0.000
Mn2 0.250 0.750 0.500
Sc1 0.500 0.500 0.000
```

Computed properties:
size of the total moment = 6.33 μB per cell
formation energy from the elements = 0.17 eV per atom
raw total energy = -6.7065 eV per atom
density = 6.52 g/cm³
volume = 67 Å³ per cell
DOS at the Fermi energy = 1.191 states/eV per atom



Record 6
ScMn2Ag after structural relaxation. Source: the Alexandria database, functional PBE-GGA.

```
data_ScMn2Ag
_chemical_formula_sum 'Sc1 Mn2 Ag1'
_cell_length_a 3.058
_cell_length_b 3.079
_cell_length_c 7.592
_cell_angle_alpha 66.08
_cell_angle_beta 90.00
_cell_angle_gamma 90.00
_symmetry_space_group_name_H-M 'P 1'
_symmetry_Int_Tables_number 1
loop_
_symmetry_equiv_pos_as_xyz
'x,y,z'
loop_
_atom_site_label
_atom_site_fract_x
_atom_site_fract_y
_atom_site_fract_z
Ag1 0.500 0.722 0.778
Mn1 0.000 0.966 0.034
Mn2 0.500 0.289 0.211
Sc1 0.000 0.524 0.476
```

Computed properties:
size of the total moment = 1.29 μB per cell
formation energy from the elements = 0.04 eV per atom
raw total energy = -6.8425 eV per atom
density = 6.68 g/cm³
volume = 65 Å³ per cell
DOS at the Fermi energy = 0.796 states/eV per atom



Record 7
ScMn2Ag after structural relaxation. Source: the Alexandria database, functional PBE-GGA.

```
data_ScMn2Ag
_chemical_formula_sum 'Sc1 Mn2 Ag1'
_cell_length_a 3.126
_cell_length_b 3.831
_cell_length_c 5.766
_cell_angle_alpha 90.00
_cell_angle_beta 90.00
_cell_angle_gamma 90.00
_symmetry_space_group_name_H-M 'P 1'
_symmetry_Int_Tables_number 1
loop_
_symmetry_equiv_pos_as_xyz
'x,y,z'
loop_
_atom_site_label
_atom_site_fract_x
_atom_site_fract_y
_atom_site_fract_z
Ag1 0.500 0.500 0.750
Mn1 0.000 0.000 0.003
Mn2 0.000 0.000 0.497
Sc1 0.500 0.500 0.250
```

Computed properties:
size of the total moment = 6.66 μB per cell
formation energy from the elements = 0.22 eV per atom
raw total energy = -6.6631 eV per atom
density = 6.32 g/cm³
volume = 69 Å³ per cell
DOS at the Fermi energy = 0.897 states/eV per atom



Record 8
ScMn2Ag after structural relaxation. Source: the Alexandria database, functional PBE-GGA.

```
data_ScMn2Ag
_chemical_formula_sum 'Sc1 Mn2 Ag1'
_cell_length_a 3.024
_cell_length_b 3.024
_cell_length_c 7.532
_cell_angle_alpha 90.00
_cell_angle_beta 90.00
_cell_angle_gamma 89.98
_symmetry_space_group_name_H-M 'P 1'
_symmetry_Int_Tables_number 1
loop_
_symmetry_equiv_pos_as_xyz
'x,y,z'
loop_
_atom_site_label
_atom_site_fract_x
_atom_site_fract_y
_atom_site_fract_z
Ag1 0.500 0.500 0.750
Mn1 0.000 0.000 0.992
Mn2 0.000 0.000 0.508
Sc1 0.500 0.500 0.250
```

Computed properties:
size of the total moment = 6.38 μB per cell
formation energy from the elements = 0.24 eV per atom
raw total energy = -6.6364 eV per atom
density = 6.33 g/cm³
volume = 69 Å³ per cell
DOS at the Fermi energy = 1.185 states/eV per atom



Record 9
ScMn2Ag after structural relaxation. Source: the Alexandria database, functional PBE-GGA.

```
data_ScMn2Ag
_chemical_formula_sum 'Sc1 Mn2 Ag1'
_cell_length_a 5.257
_cell_length_b 5.327
_cell_length_c 2.891
_cell_angle_alpha 78.54
_cell_angle_beta 81.53
_cell_angle_gamma 116.96
_symmetry_space_group_name_H-M 'P 1'
_symmetry_Int_Tables_number 1
loop_
_symmetry_equiv_pos_as_xyz
'x,y,z'
loop_
_atom_site_label
_atom_site_fract_x
_atom_site_fract_y
_atom_site_fract_z
Ag1 0.500 0.500 0.000
Mn1 0.000 0.000 0.000
Mn2 0.500 0.000 0.500
Sc1 0.000 0.500 0.500
```

Computed properties:
size of the total moment = 6.25 μB per cell
formation energy from the elements = 0.31 eV per atom
raw total energy = -6.5747 eV per atom
density = 6.41 g/cm³
volume = 68 Å³ per cell
DOS at the Fermi energy = 1.342 states/eV per atom



Record 10
Sc2MnAg after structural relaxation. Source: the Alexandria database, functional PBE-GGA.

```
data_Sc2MnAg
_chemical_formula_sum 'Sc2 Mn1 Ag1'
_cell_length_a 5.754
_cell_length_b 5.754
_cell_length_c 5.754
_cell_angle_alpha 146.18
_cell_angle_beta 131.94
_cell_angle_gamma 60.05
_symmetry_space_group_name_H-M 'P 1'
_symmetry_Int_Tables_number 1
loop_
_symmetry_equiv_pos_as_xyz
'x,y,z'
loop_
_atom_site_label
_atom_site_fract_x
_atom_site_fract_y
_atom_site_fract_z
Ag1 0.484 0.484 0.000
Mn1 0.264 0.764 0.500
Sc1 0.016 0.016 0.000
Sc2 0.736 0.236 0.500
```

Computed properties:
size of the total moment = 2.61 μB per cell
formation energy from the elements = 0.01 eV per atom
raw total energy = -6.1626 eV per atom
density = 5.37 g/cm³
volume = 78 Å³ per cell
DOS at the Fermi energy = 0.987 states/eV per atom



Record 11
Sc6Mn2Ag after structural relaxation. Source: the Alexandria database, functional PBE-GGA.

```
data_Sc6Mn2Ag
_chemical_formula_sum 'Sc12 Mn4 Ag2'
_cell_length_a 7.800
_cell_length_b 7.800
_cell_length_c 7.800
_cell_angle_alpha 106.94
_cell_angle_beta 111.33
_cell_angle_gamma 110.17
_symmetry_space_group_name_H-M 'P 1'
_symmetry_Int_Tables_number 1
loop_
_symmetry_equiv_pos_as_xyz
'x,y,z'
loop_
_atom_site_label
_atom_site_fract_x
_atom_site_fract_y
_atom_site_fract_z
Sc1 0.529 0.717 0.812
Sc2 0.471 0.283 0.188
Sc3 0.094 0.283 0.812
Sc4 0.906 0.717 0.188
Sc5 0.788 0.765 0.554
Sc6 0.212 0.235 0.446
Sc7 0.212 0.765 0.977
Sc8 0.788 0.235 0.023
Sc9 0.707 0.395 0.688
Sc10 0.293 0.605 0.312
Sc11 0.293 0.980 0.688
Sc12 0.707 0.020 0.312
Mn1 0.500 0.388 0.888
Mn2 0.500 0.612 0.112
Mn3 0.622 0.000 0.622
Mn4 0.378 0.000 0.378
Ag1 0.000 0.500 0.500
Ag2 0.000 0.000 0.000
```

Computed properties:
size of the total moment = 2.75 μB per cell
formation energy from the elements = -0.06 eV per atom
raw total energy = -6.6388 eV per atom
density = 4.44 g/cm³
volume = 365 Å³ per cell
DOS at the Fermi energy = 1.316 states/eV per atom



Record 12
ScMn2Ag after structural relaxation. Source: the Alexandria database, functional PBE-GGA.

```
data_ScMn2Ag
_chemical_formula_sum 'Sc1 Mn2 Ag1'
_cell_length_a 9.269
_cell_length_b 9.269
_cell_length_c 9.269
_cell_angle_alpha 18.69
_cell_angle_beta 18.69
_cell_angle_gamma 18.69
_symmetry_space_group_name_H-M 'P 1'
_symmetry_Int_Tables_number 1
loop_
_symmetry_equiv_pos_as_xyz
'x,y,z'
loop_
_atom_site_label
_atom_site_fract_x
_atom_site_fract_y
_atom_site_fract_z
Ag1 0.750 0.750 0.750
Mn1 0.001 0.001 0.001
Mn2 0.499 0.499 0.499
Sc1 0.250 0.250 0.250
```

Computed properties:
size of the total moment = 7.00 μB per cell
formation energy from the elements = 0.35 eV per atom
raw total energy = -6.5280 eV per atom
density = 6.11 g/cm³
volume = 71 Å³ per cell
DOS at the Fermi energy = 0.914 states/eV per atom